1.
VASP calculation (PBE) on Tb4AgC2 after structural relaxation.

Lattice parameters (Å, degrees): 6.471 6.471 13.086 90.00 90.00 146.93
Sites, in units of the cell vectors:
Tb 0.000 0.000 0.000
Tb 0.000 0.000 0.500
Tb 0.264 0.736 0.603
Tb 0.264 0.736 0.897
Tb 0.421 0.579 0.250
Tb 0.579 0.421 0.750
Tb 0.736 0.264 0.103
Tb 0.736 0.264 0.397
Ag 0.111 0.889 0.250
Ag 0.889 0.111 0.750
C 0.364 0.636 0.060
C 0.364 0.636 0.440
C 0.636 0.364 0.560
C 0.636 0.364 0.940

Values from the calculation:
calculated density = 8.5 g/cm3
SG = Cmcm, No. 63
offset from the most stable computed form = 24 kJ/mol of formula units
E_form = -1.4 eV per formula unit
N(E_F) = 11.68 states/eV per cell

=====

2.
VASP calculation (PBE) on VMo3C after structural relaxation.

Lattice parameters (Å, degrees): 4.138 4.138 4.138 90.00 90.00 90.00
Sites, in units of the cell vectors:
V 0.000 0.000 0.000
Mo 0.000 0.500 0.500
Mo 0.500 0.000 0.500
Mo 0.500 0.500 0.000
C 0.500 0.500 0.500

Values from the calculation:
calculated density = 8.2 g/cm3
SG = Pm-3m, No. 221
offset from the most stable computed form = 0 kJ/mol of formula units
E_form = 0.8 eV per formula unit
N(E_F) = 5.60 states/eV per cell

=====

3.
VASP calculation (PBE) on LiCoSb2 after structural relaxation.

Lattice parameters (Å, degrees): 8.106 8.106 8.106 24.51 24.51 24.51
Sites, in units of the cell vectors:
Li 0.000 0.000 0.000
Co 0.500 0.500 0.500
Sb 0.236 0.236 0.236
Sb 0.764 0.764 0.764

Values from the calculation:
calculated density = 6.4 g/cm3
SG = R-3m, No. 166
offset from the most stable computed form = 0 kJ/mol of formula units
uncorrected formation energy = -0.15 eV/atom
N(E_F) = 3.23 states/eV per cell

=====

4.
VASP calculation (PBE) on Ho4Tl2InAg after structural relaxation.

Lattice parameters (Å, degrees): 9.176 9.176 9.176 33.43 33.43 33.43
Sites, in units of the cell vectors:
Ho 0.123 0.123 0.123
Ho 0.373 0.373 0.373
Ho 0.627 0.627 0.627
Ho 0.877 0.877 0.877
Tl 0.252 0.252 0.252
Tl 0.748 0.748 0.748
In 0.500 0.500 0.500
Ag 0.000 0.000 0.000

Values from the calculation:
calculated density = 10.3 g/cm3
SG = R-3m, No. 166
E_form = -2.8 eV per formula unit
N(E_F) = 8.00 states/eV per cell

=====

5.
VASP calculation (PBE) on Th3CuTc after structural relaxation.

Lattice parameters (Å, degrees): 4.022 9.705 6.537 90.00 90.00 90.00
Sites, in units of the cell vectors:
Th 0.250 0.055 0.233
Th 0.250 0.250 0.750
Th 0.250 0.445 0.233
Th 0.750 0.555 0.767
Th 0.750 0.750 0.250
Th 0.750 0.945 0.767
Cu 0.250 0.750 0.564
Cu 0.750 0.250 0.436
Tc 0.250 0.750 0.978
Tc 0.750 0.250 0.022

Values from the calculation:
calculated density = 11.2 g/cm3
SG = Pmmn, No. 59
E_form = -0.6 eV per formula unit
N(E_F) = 9.01 states/eV per cell

=====

6.
VASP calculation (PBE) on Sr3Re after structural relaxation.

Lattice parameters (Å, degrees): 6.632 6.632 6.632 116.70 116.70 116.70
Sites, in units of the cell vectors:
Sr 0.000 0.500 0.500
Sr 0.500 0.000 0.500
Sr 0.500 0.500 0.000
Re 0.000 0.000 0.000

Values from the calculation:
calculated density = 5.5 g/cm3
SG = R-3m, No. 166
offset from the most stable computed form = 157 kJ/mol of formula units
E_form = 4.6 eV per formula unit
N(E_F) = 4.23 states/eV per cell

=====

7.
VASP calculation (PBE) on Mg2In7Pb2 after structural relaxation.

Lattice parameters (Å, degrees): 6.587 6.587 7.261 100.70 100.70 94.26
Sites, in units of the cell vectors:
Mg 0.109 0.109 0.362
Mg 0.891 0.891 0.638
In 0.054 0.599 0.332
In 0.192 0.192 0.995
In 0.401 0.946 0.668
In 0.500 0.500 0.500
In 0.599 0.054 0.332
In 0.808 0.808 0.005
In 0.946 0.401 0.668
Pb 0.315 0.685 0.000
Pb 0.685 0.315 0.000

Values from the calculation:
calculated density = 7.0 g/cm3
SG = C2/m, No. 12
E_form = 0.3 eV per formula unit
N(E_F) = 3.86 states/eV per cell

=====

8.
VASP calculation (PBE) on ZrTi3Be after structural relaxation.

Lattice parameters (Å, degrees): 4.490 4.490 4.490 90.00 90.00 90.00
Sites, in units of the cell vectors:
Zr 0.000 0.000 0.000
Ti 0.000 0.500 0.500
Ti 0.500 0.000 0.500
Ti 0.500 0.500 0.000
Be 0.500 0.500 0.500

Values from the calculation:
calculated density = 4.5 g/cm3
SG = Pm-3m, No. 221
offset from the most stable computed form = 0 kJ/mol of formula units
E_form = 1.9 eV per formula unit
N(E_F) = 7.02 states/eV per cell